No. 1
Entry from Alexandria: Li4TmPb2 after structural relaxation (PBE-GGA).

**Symmetry**: R-3m
**N(E_F)**: 3.1 states/eV/cell
**ΔH_f (0 K)**: -0.358 eV/atom
**Polymorph energy (0 for the lowest one)**: 0.000 eV per atom
**Magnetic moment**: 0.00 μB per cell

Lattice parameters (Å, degrees): 4.7816 4.7816 8.2121 73.07 73.07 60.00
With the nearest neighbours (Å) after each atom.
Atoms (fractional coordinates):
Li1 0.8634 0.8634 0.4098  4 Pb 2.92-3.15, 6 Li 3.00-3.09, 1 Tm 3.17
Li2 0.1366 0.1366 0.5902  4 Pb 2.92-3.15, 6 Li 3.00-3.09, 1 Tm 3.17
Li3 0.5810 0.5810 0.2570  3 Pb 2.78, 3 Li 3.00
Li4 0.4190 0.4190 0.7430  3 Pb 2.78, 3 Li 3.00
Tm1 0.0000 0.0000 0.0000  8 Li 3.17-3.40, 6 Pb 3.21
Pb1 0.7377 0.7377 0.7870  4 Li 2.78-2.92
Pb2 0.2623 0.2623 0.2130  4 Li 2.78-2.92

No. 2
Entry from Alexandria: KNa2In3I6 after structural relaxation (PBE-GGA).

**Symmetry**: C2/m
**N(E_F)**: 0.0 states/eV/cell
**Total energy**: -2.6508 eV/atom
**Magnetic moment**: 0.00 μB per cell

Lattice parameters (Å, degrees): 4.8564 9.8443 10.9152 103.39 102.85 90.00
With the nearest neighbours (Å) after each atom.
Atoms (fractional coordinates):
K1 0.5000 0.0000 0.0000  6 I 3.48-3.55
Na1 0.8299 0.6621 0.6597  6 I 3.25-3.36
Na2 0.1701 0.3379 0.3403  6 I 3.25-3.36
In1 0.5000 0.5000 0.0000  6 I 3.46-3.57
In2 0.8345 0.1712 0.6690  6 I 3.37-3.69
In3 0.1655 0.8288 0.3310  6 I 3.37-3.69
I1 0.3282 0.8974 0.6565  2 Na 3.36, 3 In 3.37-3.61, 1 K 3.55
I2 0.6724 0.5735 0.3447  3 Na 3.26-3.35, 3 In 3.52-3.57
I3 0.6718 0.1026 0.3435  2 Na 3.36, 3 In 3.37-3.61, 1 K 3.55
I4 0.0128 0.2579 0.0256  1 Na 3.25, 2 In 3.46, 2 K 3.48
I5 0.9872 0.7421 0.9744  1 Na 3.25, 2 In 3.46, 2 K 3.48
I6 0.3276 0.4265 0.6553  3 Na 3.26-3.35, 3 In 3.52-3.57